--- 1 ---
Compound: Sb2OsAu
Source: Alexandria via LeMat-Bulk
Functional: PBE-GGA
Structure: optimized geometry

## Properties
- DOS(E_F): 2.16 states/eV/cell

CIF file:
```
data_Sb2OsAu
_chemical_formula_sum 'Sb2 Os1 Au1'
_cell_length_a 3.199
_cell_length_b 3.199
_cell_length_c 8.073
_cell_angle_alpha 90.00
_cell_angle_beta 90.00
_cell_angle_gamma 90.00
_symmetry_space_group_name_H-M 'P 4/m m m'
_symmetry_Int_Tables_number 123
_symmetry_space_group_name_Hall '-P 4 2'
loop_
_atom_site_label
_atom_site_type_symbol
_atom_site_fract_x
_atom_site_fract_y
_atom_site_fract_z
Sb1 Sb 0.000 0.000 0.214
Os1 Os 0.500 0.500 0.000
Au1 Au 0.500 0.500 0.500
```


--- 2 ---
Compound: Sb2OsAu
Source: Alexandria via LeMat-Bulk
Functional: PBE-GGA
Structure: optimized geometry

## Properties
- DOS(E_F): 2.68 states/eV/cell

CIF file:
```
data_Sb2OsAu
_chemical_formula_sum 'Sb2 Os1 Au1'
_cell_length_a 3.448
_cell_length_b 4.454
_cell_length_c 5.522
_cell_angle_alpha 90.00
_cell_angle_beta 108.09
_cell_angle_gamma 90.00
_symmetry_space_group_name_H-M 'P 1 m 1'
_symmetry_Int_Tables_number 6
loop_
_symmetry_equiv_pos_as_xyz
'x,y,z'
'x,-y,z'
loop_
_atom_site_label
_atom_site_type_symbol
_atom_site_fract_x
_atom_site_fract_y
_atom_site_fract_z
Sb1 Sb 0.000 0.000 0.000
Sb2 Sb 0.286 0.500 0.569
Os1 Os 0.729 0.000 0.454
Au1 Au 0.544 0.500 0.092
```


--- 3 ---
Compound: Sb2OsAu
Source: Alexandria via LeMat-Bulk
Functional: PBE-GGA
Structure: optimized geometry

## Properties
- DOS(E_F): 2.09 states/eV/cell

CIF file:
```
data_Sb2OsAu
_chemical_formula_sum 'Sb2 Os1 Au1'
_cell_length_a 3.143
_cell_length_b 3.246
_cell_length_c 8.354
_cell_angle_alpha 90.00
_cell_angle_beta 90.00
_cell_angle_gamma 90.00
_symmetry_space_group_name_H-M 'P m m m'
_symmetry_Int_Tables_number 47
loop_
_symmetry_equiv_pos_as_xyz
'x,y,z'
'-x,-y,-z'
'-x,-y,z'
'x,y,-z'
'x,-y,-z'
'-x,y,z'
'-x,y,-z'
'x,-y,z'
loop_
_atom_site_label
_atom_site_type_symbol
_atom_site_fract_x
_atom_site_fract_y
_atom_site_fract_z
Sb1 Sb 0.000 0.000 0.206
Os1 Os 0.500 0.500 0.000
Au1 Au 0.000 0.500 0.500
```


--- 4 ---
Compound: Sb2OsAu
Source: Alexandria via LeMat-Bulk
Functional: PBE-GGA
Structure: optimized geometry

## Properties
- DOS(E_F): 6.85 states/eV/cell

CIF file:
```
data_Sb2OsAu
_chemical_formula_sum 'Sb4 Os2 Au2'
_cell_length_a 3.134
_cell_length_b 5.189
_cell_length_c 10.672
_cell_angle_alpha 90.00
_cell_angle_beta 90.00
_cell_angle_gamma 90.00
_symmetry_space_group_name_H-M 'C m m m'
_symmetry_Int_Tables_number 65
_symmetry_space_group_name_Hall '-C 2 2'
loop_
_atom_site_label
_atom_site_type_symbol
_atom_site_fract_x
_atom_site_fract_y
_atom_site_fract_z
Sb1 Sb 0.000 0.000 0.211
Os1 Os 0.000 0.500 0.000
Au1 Au 0.000 0.500 0.500
```


We find 3 to be the most stable, with the next structure 0.043 eV/atom higher.


--- 1 ---
Compound: Sb2OsAu
Source: Alexandria via LeMat-Bulk
Functional: PBE-GGA
Structure: optimized geometry

## Properties
- DOS(E_F): 4.40 states/eV/cell

CIF file:
```
data_Sb2OsAu
_chemical_formula_sum 'Sb4 Os2 Au2'
_cell_length_a 8.878
_cell_length_b 3.380
_cell_length_c 6.779
_cell_angle_alpha 90.00
_cell_angle_beta 111.29
_cell_angle_gamma 90.00
_symmetry_space_group_name_H-M 'C 1 m 1'
_symmetry_Int_Tables_number 8
loop_
_symmetry_equiv_pos_as_xyz
'x,y,z'
'x,-y,z'
'x+1/2,y+1/2,z'
'x+1/2,-y+1/2,z'
loop_
_atom_site_label
_atom_site_type_symbol
_atom_site_fract_x
_atom_site_fract_y
_atom_site_fract_z
Sb1 Sb 0.000 0.000 0.000
Sb2 Sb 0.211 0.500 0.467
Os1 Os 0.249 0.000 0.821
Au1 Au 0.475 0.000 0.616
```


--- 2 ---
Compound: Sb2OsAu
Source: Alexandria via LeMat-Bulk
Functional: PBE-GGA
Structure: optimized geometry

## Properties
- DOS(E_F): 19.29 states/eV/cell

CIF file:
```
data_Sb2OsAu
_chemical_formula_sum 'Sb8 Os4 Au4'
_cell_length_a 6.881
_cell_length_b 6.881
_cell_length_c 6.881
_cell_angle_alpha 90.00
_cell_angle_beta 90.00
_cell_angle_gamma 90.00
_symmetry_space_group_name_H-M 'F -4 3 m'
_symmetry_Int_Tables_number 216
_symmetry_space_group_name_Hall 'F -4 2 3'
loop_
_atom_site_label
_atom_site_type_symbol
_atom_site_fract_x
_atom_site_fract_y
_atom_site_fract_z
Sb1 Sb 0.000 0.000 0.000
Sb2 Sb 0.250 0.250 0.250
Os1 Os 0.000 0.000 0.500
Au1 Au 0.250 0.250 0.750
```


--- 3 ---
Compound: Sb2OsAu
Source: Alexandria via LeMat-Bulk
Functional: PBE-GGA
Structure: optimized geometry

## Properties
- DOS(E_F): 2.41 states/eV/cell

CIF file:
```
data_Sb2OsAu
_chemical_formula_sum 'Sb2 Os1 Au1'
_cell_length_a 4.427
_cell_length_b 3.393
_cell_length_c 5.641
_cell_angle_alpha 90.00
_cell_angle_beta 95.83
_cell_angle_gamma 90.00
_symmetry_space_group_name_H-M 'P 1 2/m 1'
_symmetry_Int_Tables_number 10
loop_
_symmetry_equiv_pos_as_xyz
'x,y,z'
'-x,-y,-z'
'-x,y,-z'
'x,-y,z'
loop_
_atom_site_label
_atom_site_type_symbol
_atom_site_fract_x
_atom_site_fract_y
_atom_site_fract_z
Sb1 Sb 0.000 0.000 0.000
Sb2 Sb 0.500 0.500 0.500
Os1 Os 0.000 0.000 0.500
Au1 Au 0.500 0.500 0.000
```


--- 4 ---
Compound: Sb2OsAu
Source: Alexandria via LeMat-Bulk
Functional: PBE-GGA
Structure: optimized geometry

## Properties
- DOS(E_F): 6.31 states/eV/cell

CIF file:
```
data_Sb2OsAu
_chemical_formula_sum 'Sb4 Os2 Au2'
_cell_length_a 7.085
_cell_length_b 6.757
_cell_length_c 3.334
_cell_angle_alpha 90.00
_cell_angle_beta 90.17
_cell_angle_gamma 90.00
_symmetry_space_group_name_H-M 'C 1 2/m 1'
_symmetry_Int_Tables_number 12
loop_
_symmetry_equiv_pos_as_xyz
'x,y,z'
'-x,-y,-z'
'-x,y,-z'
'x,-y,z'
'x+1/2,y+1/2,z'
'-x+1/2,-y+1/2,-z'
'-x+1/2,y+1/2,-z'
'x+1/2,-y+1/2,z'
loop_
_atom_site_label
_atom_site_type_symbol
_atom_site_fract_x
_atom_site_fract_y
_atom_site_fract_z
Sb1 Sb 0.250 0.250 0.000
Os1 Os 0.000 0.000 0.500
Au1 Au 0.000 0.500 0.500
```


We find 1 to be the most stable, with the next structure 0.048 eV/atom higher.